Computed, not measured: PuCdSbN after structural relaxation at the PBE level of DFT.

Cell lengths 3.153, 3.153, 9.396 Å; angles 99.66, 99.66, 90.00 degrees
Positions (direct):
Pu 0.613 0.613 0.227
Cd 0.290 0.290 0.581
Sb 0.961 0.961 0.922
N 0.147 0.147 0.294

Computed properties:
Formation energy from raw total energies in eV per atom: -0.3378
DFT total energy in eV per atom: -7.261
Density in Mg/m³: 9.0
SG: I4mm (107)